Entry from Alexandria: a geometry-optimized Zr4Hg5C structure (PBE-GGA).

The space group is C2/m (No. 12) and the conventional cell measures 16.4523, 3.4066 and 8.0873 Å, with angles of 90.00, 103.54 and 90.00 degrees. The inequivalent atoms are Zr at (0.0065, 0.0000, 0.1891), Zr at (0.1426, 0.5000, 0.0493), Hg at (0.0000, 0.5000, 0.5000), Hg at (0.1709, 0.0000, 0.7512), Hg at (0.1883, 0.0000, 0.3718) and C at (0.0000, 0.5000, 0.0000).

The calculated formation energy is -0.237 eV/atom. The calculation puts the total magnetic moment at 0.0 μB/f.u. Its calculated total energy is -4.73 eV per atom.